Computed, not measured: crystalline LiLaHfPd at its relaxed geometry at the PBE level of DFT.

## Properties
Total energy (hartree per atom): -0.199
Excess energy over the best structure of this formula in the dataset (kJ/mol of atoms): 16.0
Volume (Å³ per cell): 327.8

The structure in CIF format:
```
data_LiLaHfPd
_cell_length_a 6.895
_cell_length_b 6.895
_cell_length_c 6.895
_cell_angle_alpha 90.00
_cell_angle_beta 90.00
_cell_angle_gamma 90.00
_space_group_name_H-M_alt 'F -4 3 m'
_space_group_IT_number 216
_space_group_name_Hall 'F -4 2 3'
loop_
_atom_site_label
_atom_site_fract_x
_atom_site_fract_y
_atom_site_fract_z
Li1 0.000 0.000 0.000
La1 0.000 0.000 0.500
Hf1 0.250 0.250 0.250
Pd1 0.250 0.250 0.750
```

Computed, not measured: crystalline PmBiN2O at its relaxed geometry at the PBE level of DFT.

## Properties
Total energy (hartree per atom): -0.244
Volume (Å³ per cell): 292.8

The structure in CIF format:
```
data_PmBiN2O
_cell_length_a 8.154
_cell_length_b 5.874
_cell_length_c 6.113
_cell_angle_alpha 90.00
_cell_angle_beta 90.00
_cell_angle_gamma 90.00
_space_group_name_H-M_alt 'P m c 21'
_space_group_IT_number 26
loop_
_space_group_symop_operation_xyz
'x,y,z'
'-x,-y,z+1/2'
'-x,y,z'
'x,-y,z+1/2'
loop_
_atom_site_label
_atom_site_fract_x
_atom_site_fract_y
_atom_site_fract_z
Pm1 0.000 0.231 0.000
Pm2 0.500 0.260 0.117
Bi1 0.253 0.266 0.562
N1 0.000 0.368 0.619
N2 0.302 0.422 0.880
N3 0.500 0.120 0.495
O1 0.183 0.054 0.263
```

Computed, not measured: crystalline BeCu4NiAs2 at its relaxed geometry at the PBE level of DFT.

## Properties
Total energy (hartree per atom): -0.147
Volume (Å³ per cell): 100.9

The structure in CIF format:
```
data_BeCu4NiAs2
_cell_length_a 4.168
_cell_length_b 4.168
_cell_length_c 5.810
_cell_angle_alpha 90.00
_cell_angle_beta 90.00
_cell_angle_gamma 90.00
_space_group_name_H-M_alt 'P 4/m m m'
_space_group_IT_number 123
_space_group_name_Hall '-P 4 2'
loop_
_atom_site_label
_atom_site_fract_x
_atom_site_fract_y
_atom_site_fract_z
Be1 0.000 0.000 0.000
Cu1 0.000 0.500 0.238
Ni1 0.500 0.500 0.500
As1 0.000 0.000 0.500
As2 0.500 0.500 0.000
```